Density functional theory data (PBEsol) for a relaxed SiHgSe2 crystal.

## Properties
For the total energy, the calculation gives -12.52 eV per cell. As for the space group: R-3m.

abc: 4.226 4.226 8.614
angles: 75.80 75.80 60.00
Positions (direct):
Si 0.000 0.000 0.000
Hg 0.500 0.500 0.500
Se 0.915 0.915 0.255
Se 0.085 0.085 0.745

Density functional theory data (PBEsol) for a relaxed SiHg2Se crystal.

## Properties
For the total energy, the calculation gives -9.69 eV per cell. As for the space group: P2/m. For the polymorph energy (0 for the lowest one), the calculation gives 200.7 meV/atom.

abc: 2.717 5.296 6.098
angles: 90.00 90.00 89.47
Positions (direct):
Hg 0.725 0.249 0.000
Hg 0.275 0.751 0.000
Se 0.500 0.500 0.500
Si 0.500 0.000 0.500

Density functional theory data (PBEsol) for a relaxed SiHg2Se crystal.

## Properties
For the total energy, the calculation gives -10.49 eV per cell. As for the space group: Pm. For the polymorph energy (0 for the lowest one), the calculation gives 0.0 meV/atom.

abc: 2.781 3.539 9.043
angles: 90.00 99.43 90.00
Positions (direct):
Hg 0.188 0.000 0.019
Hg 0.571 0.500 0.757
Se 0.421 0.000 0.458
Si 0.320 0.500 0.267

Density functional theory data (PBEsol) for a relaxed Tl2SiHgSe4 crystal.

## Properties
For the total energy, the calculation gives -29.94 eV per cell. As for the space group: I-42m.

abc: 6.501 6.501 6.501
angles: 105.29 105.29 118.19
Positions (direct):
Tl 0.500 0.000 0.500
Tl 0.000 0.500 0.500
Si 0.000 0.000 0.000
Hg 0.500 0.500 0.000
Se 0.958 0.627 0.000
Se 0.627 0.958 0.000
Se 0.042 0.042 0.669
Se 0.373 0.373 0.331

Density functional theory data (PBEsol) for a relaxed SnHgSe2 crystal.

## Properties
For the total energy, the calculation gives -13.18 eV per cell. As for the space group: R-3m.

abc: 3.759 3.759 10.367
angles: 79.56 79.56 60.00
Positions (direct):
Hg 0.000 0.000 0.000
Se 0.886 0.886 0.341
Se 0.114 0.114 0.659
Sn 0.500 0.500 0.500

Density functional theory data (PBEsol) for a relaxed SnHg3Se crystal.

## Properties
For the total energy, the calculation gives -7.81 eV per cell. As for the space group: Pm-3m.

abc: 5.384 5.384 5.384
angles: 90.00 90.00 90.00
Positions (direct):
Hg 0.000 0.500 0.000
Hg 0.000 0.000 0.500
Hg 0.500 0.000 0.000
Se 0.500 0.500 0.500
Sn 0.000 0.000 0.000

Density functional theory data (PBEsol) for a relaxed SrHgSe2 crystal.

## Properties
For the total energy, the calculation gives -13.56 eV per cell. As for the space group: P4/mmm.

abc: 3.818 4.977 4.977
angles: 90.00 90.00 90.00
Positions (direct):
Hg 0.500 0.000 0.000
Se 0.000 0.000 0.500
Se 0.000 0.500 0.000
Sr 0.500 0.500 0.500

Density functional theory data (PBEsol) for a relaxed SrHg2Se crystal.

## Properties
For the total energy, the calculation gives -10.28 eV per cell. As for the space group: Pm.

abc: 4.211 4.213 6.035
angles: 89.23 90.00 90.00
Positions (direct):
Hg 0.000 0.114 0.131
Hg 0.500 0.616 0.131
Se 0.000 0.636 0.564
Sr 0.500 0.133 0.674